(1)
## Ac4U6O19 (PBE-GGA)

Data for a geometry-optimized Ac4U6O19 structure.

a = 8.733 Å, b = 8.733 Å, c = 8.733 Å
α = 109.47°, β = 109.47°, γ = 109.47°
Each line ends with the local moment (μB).
Positions (direct):
Ac (0.000, 0.000, 0.706)  0.01
Ac (0.000, 0.706, 0.000)  0.01
Ac (0.294, 0.294, 0.294)  0.01
Ac (0.706, 0.000, 0.000)  0.01
U (0.329, 0.500, 0.829)  1.67
U (0.671, 0.500, 0.171)  1.67
U (0.171, 0.671, 0.500)  1.67
U (0.829, 0.329, 0.500)  1.67
U (0.500, 0.829, 0.329)  1.67
U (0.500, 0.171, 0.671)  1.67
O (0.642, 0.000, 0.642)  -0.04
O (0.358, 0.000, 0.358)  -0.04
O (0.358, 0.358, 0.000)  -0.04
O (0.642, 0.642, 0.000)  -0.04
O (0.000, 0.642, 0.642)  -0.04
O (0.000, 0.358, 0.358)  -0.04
O (0.000, 0.000, 0.000)  0.00
O (0.350, 0.320, 0.600)  -0.04
O (0.650, 0.250, 0.970)  -0.04
O (0.721, 0.750, 0.400)  -0.04
O (0.970, 0.650, 0.250)  -0.04
O (0.279, 0.680, 0.030)  -0.04
O (0.600, 0.350, 0.320)  -0.04
O (0.030, 0.279, 0.680)  -0.04
O (0.400, 0.721, 0.750)  -0.04
O (0.680, 0.030, 0.279)  -0.04
O (0.250, 0.970, 0.650)  -0.04
O (0.320, 0.600, 0.350)  -0.04
O (0.750, 0.400, 0.721)  -0.04

## Properties
The total moment comes out at 10.002 μB per cell. As for the formation energy (no corrections): -3223 meV/atom. The total energy is -271.85 eV for the cell shown. For the density of states at the Fermi level, the calculation gives 17.12 states/eV/cell.


(2)
## Ac3U5O12 (PBE-GGA)

Data for a geometry-optimized Ac3U5O12 structure.

a = 12.237 Å, b = 12.237 Å, c = 12.237 Å
α = 109.47°, β = 109.47°, γ = 109.47°
Each line ends with the local moment (μB).
Positions (direct):
Ac (0.750, 0.375, 0.125)  0.07
Ac (0.875, 0.750, 0.125)  0.07
Ac (0.375, 0.750, 0.625)  0.07
Ac (0.250, 0.125, 0.375)  0.07
Ac (0.875, 0.125, 0.250)  0.07
Ac (0.375, 0.625, 0.250)  0.07
Ac (0.625, 0.375, 0.750)  0.07
Ac (0.125, 0.875, 0.750)  0.07
Ac (0.750, 0.875, 0.625)  0.07
Ac (0.625, 0.250, 0.375)  0.07
Ac (0.125, 0.250, 0.875)  0.07
Ac (0.250, 0.625, 0.875)  0.07
U (0.125, 0.375, 0.250)  2.05
U (0.000, 0.500, 0.000)  2.12
U (0.000, 0.000, 0.000)  2.12
U (0.375, 0.250, 0.125)  2.05
U (0.500, 0.000, 0.500)  2.12
U (0.500, 0.500, 0.000)  2.12
U (0.125, 0.750, 0.375)  2.05
U (0.750, 0.125, 0.875)  2.05
U (0.750, 0.625, 0.375)  2.05
U (0.375, 0.125, 0.750)  2.05
U (0.625, 0.875, 0.250)  2.05
U (0.500, 0.500, 0.500)  2.12
U (0.500, 0.000, 0.000)  2.12
U (0.000, 0.000, 0.500)  2.12
U (0.250, 0.375, 0.625)  2.05
U (0.250, 0.875, 0.125)  2.05
U (0.000, 0.500, 0.500)  2.12
U (0.875, 0.250, 0.625)  2.05
U (0.625, 0.750, 0.875)  2.05
U (0.875, 0.625, 0.750)  2.05
O (0.709, 0.127, 0.036)  -0.04
O (0.327, 0.536, 0.409)  -0.04
O (0.964, 0.373, 0.291)  -0.04
O (0.536, 0.209, 0.127)  -0.04
O (0.582, 0.709, 0.673)  -0.04
O (0.964, 0.591, 0.173)  -0.04
O (0.327, 0.791, 0.418)  -0.04
O (0.091, 0.918, 0.127)  -0.04
O (0.591, 0.964, 0.673)  -0.04
O (0.709, 0.582, 0.173)  -0.04
O (0.791, 0.464, 0.373)  -0.04
O (0.827, 0.909, 0.036)  -0.04
O (0.127, 0.709, 0.536)  -0.04
O (0.373, 0.409, 0.082)  -0.04
O (0.082, 0.909, 0.373)  -0.04
O (0.418, 0.127, 0.591)  -0.04
O (0.082, 0.173, 0.209)  -0.04
O (0.464, 0.673, 0.091)  -0.04
O (0.827, 0.918, 0.291)  -0.04
O (0.127, 0.418, 0.091)  -0.04
O (0.373, 0.964, 0.791)  -0.04
O (0.591, 0.627, 0.418)  -0.04
O (0.909, 0.827, 0.536)  -0.04
O (0.791, 0.327, 0.918)  -0.04
O (0.409, 0.373, 0.582)  -0.04
O (0.091, 0.173, 0.464)  -0.04
O (0.209, 0.673, 0.082)  -0.04
O (0.173, 0.082, 0.709)  -0.04
O (0.627, 0.036, 0.209)  -0.04
O (0.873, 0.582, 0.909)  -0.04
O (0.536, 0.327, 0.909)  -0.04
O (0.582, 0.873, 0.409)  -0.04
O (0.918, 0.827, 0.791)  -0.04
O (0.918, 0.091, 0.627)  -0.04
O (0.873, 0.291, 0.464)  -0.04
O (0.173, 0.091, 0.964)  -0.04
O (0.627, 0.591, 0.918)  -0.04
O (0.409, 0.036, 0.327)  -0.04
O (0.291, 0.418, 0.827)  -0.04
O (0.209, 0.536, 0.627)  -0.04
O (0.909, 0.082, 0.873)  -0.04
O (0.673, 0.209, 0.582)  -0.04
O (0.464, 0.791, 0.873)  -0.04
O (0.036, 0.409, 0.827)  -0.04
O (0.418, 0.291, 0.327)  -0.04
O (0.036, 0.627, 0.709)  -0.04
O (0.673, 0.464, 0.591)  -0.04
O (0.291, 0.873, 0.964)  -0.04

## Properties
The total moment comes out at 47.100 μB per cell. As for the formation energy (no corrections): -2942 meV/atom. The total energy is -748.45 eV for the cell shown. For the density of states at the Fermi level, the calculation gives 102.29 states/eV/cell.